The following is a PBE calculation of a relaxed Pm3DyTm12 crystal, from the Alexandria database.

Properties
- E: -72.1 eV for the cell shown
- Space group: No. 123
- Total moment: 0.00 μB per cell
- ΔE_f: 0.026 eV/atom
- Density: 8.82 g cm⁻³

Geometry as POSCAR:
```
Pm3DyTm12
1.0
-3.639 3.370 0.416
-1.019 -1.665 4.579
12.972 13.066 7.640
Pm Dy Tm
3 1 12
direct
0.000 0.000 0.249
0.000 0.000 0.500
0.000 0.000 0.751
0.000 0.000 0.000
0.500 0.500 0.000
0.500 0.500 0.249
0.500 0.500 0.500
0.500 0.500 0.751
0.500 0.000 0.124
0.500 0.000 0.374
0.500 0.000 0.626
0.500 0.000 0.876
0.000 0.500 0.124
0.000 0.500 0.374
0.000 0.500 0.626
0.000 0.500 0.876
```